Pm2DyCd2In2 after structural relaxation. Source: Alexandria via LeMat-Bulk, functional PBE.

Results
Its space-group type is No. 166. For the energy of formation from the pure elements, the calculation gives -272 meV/atom.

abc: 4.9554 4.9554 9.5784
angles: 75.01 75.01 60.00
Fractional coordinates of all 7 atoms:
Pm 0.1276 0.1276 0.6173
Pm 0.8724 0.8724 0.3827
Dy 0.0000 0.0000 0.0000
Cd 0.6067 0.6067 0.1799
Cd 0.3933 0.3933 0.8201
In 0.7376 0.7376 0.7872
In 0.2624 0.2624 0.2128

Pr2DyCd2In2 after structural relaxation. Source: Alexandria via LeMat-Bulk, functional PBE.

Results
Its space-group type is No. 166. For the energy of formation from the pure elements, the calculation gives -281 meV/atom.

abc: 4.9708 4.9708 9.6823
angles: 75.13 75.13 60.00
Fractional coordinates of all 7 atoms:
Pr 0.1275 0.1275 0.6175
Pr 0.8725 0.8725 0.3825
Dy 0.0000 0.0000 0.0000
Cd 0.6082 0.6082 0.1755
Cd 0.3918 0.3918 0.8245
In 0.7358 0.7358 0.7927
In 0.2642 0.2642 0.2073

DyCdInPt after structural relaxation. Source: Alexandria via LeMat-Bulk, functional PBE.

Results
Its space-group type is No. 216. For the energy of formation from the pure elements, the calculation gives -609 meV/atom.

abc: 4.9235 4.9235 4.9235
angles: 60.00 60.00 60.00
Fractional coordinates of all 4 atoms:
Cd 0.2500 0.2500 0.2500
In 0.5000 0.5000 0.5000
Pt 0.7500 0.7500 0.7500
Dy 0.0000 0.0000 0.0000

Dy4Cd2InRu after structural relaxation. Source: Alexandria via LeMat-Bulk, functional PBE.

Results
Its space-group type is No. 166. For the energy of formation from the pure elements, the calculation gives -386 meV/atom.

abc: 5.1870 5.1870 8.8949
angles: 73.05 73.05 60.00
Fractional coordinates of all 8 atoms:
Dy 0.3860 0.3860 0.8421
Dy 0.8680 0.8680 0.3960
Dy 0.1320 0.1320 0.6040
Dy 0.6140 0.6140 0.1579
Cd 0.7432 0.7432 0.7704
Cd 0.2568 0.2568 0.2296
In 0.0000 0.0000 0.0000
Ru 0.5000 0.5000 0.5000

DyCdInRu after structural relaxation. Source: Alexandria via LeMat-Bulk, functional PBE.

Results
Its space-group type is No. 216. For the energy of formation from the pure elements, the calculation gives -102 meV/atom.

abc: 4.8815 4.8815 4.8815
angles: 60.00 60.00 60.00
Fractional coordinates of all 4 atoms:
Cd 0.2500 0.2500 0.2500
In 0.0000 0.0000 0.0000
Ru 0.7500 0.7500 0.7500
Dy 0.5000 0.5000 0.5000

DyCdInS4 after structural relaxation. Source: Alexandria via LeMat-Bulk, functional PBE.

Results
Its space-group type is No. 74. The calculation puts the formation energy from raw total energies at -1104 meV per atom.

abc: 7.8696 7.9094 7.9094
angles: 59.92 60.17 60.17
Fractional coordinates of all 14 atoms:
Dy 0.0000 0.0000 0.0000
Dy 0.0000 0.5000 0.5000
Cd 0.6236 0.6264 0.1264
Cd 0.3764 0.3736 0.8736
In 0.5000 0.0000 0.5000
In 0.0000 0.0000 0.5000
S 0.7545 0.7676 0.7235
S 0.2455 0.7765 0.7324
S 0.7545 0.2235 0.2676
S 0.2455 0.2324 0.2765
S 0.2269 0.7605 0.2605
S 0.7522 0.7605 0.2605
S 0.2478 0.2395 0.7395
S 0.7731 0.2395 0.7395

DySc2Cd2In2 after structural relaxation. Source: Alexandria via LeMat-Bulk, functional PBE.

Results
Its space-group type is No. 166. For the energy of formation from the pure elements, the calculation gives -224 meV/atom.

abc: 4.8577 4.8577 8.7932
angles: 73.97 73.97 60.00
Site moments in Bohr magnetons follow the coordinates.
Fractional coordinates of all 7 atoms:
Dy 0.0000 0.0000 0.0000  0.07
Sc 0.1360 0.1360 0.5921  0.13
Sc 0.8640 0.8640 0.4079  0.13
Cd 0.5662 0.5662 0.3015  0.00
Cd 0.4338 0.4338 0.6985  0.00
In 0.7355 0.7355 0.7935  0.00
In 0.2645 0.2645 0.2065  0.00

DyCdInSn after structural relaxation. Source: Alexandria via LeMat-Bulk, functional PBE.

Results
Its space-group type is No. 47. For the energy of formation from the pure elements, the calculation gives -429 meV/atom.

abc: 4.4859 4.7756 4.6082
angles: 90.00 90.00 90.00
Fractional coordinates of all 4 atoms:
Dy 0.0000 0.5000 0.5000
Cd 0.0000 0.0000 0.0000
In 0.5000 0.0000 0.5000
Sn 0.5000 0.5000 0.0000

Size of the total moment per entry: 0.00; 0.00; 0.00; 0.00; 0.00; 0.00; 0.48; 0.00 μB per formula unit